(1)
This record from Alexandria describes an optimized crystal structure of NpNbOs2. The functional is PBE.

a b c (Å): 4.4222 4.4222 3.5755
angles (deg): 90.00 90.00 90.00
Closest atoms and distances in Å follow each position.
Space group P4/mmm (No. 123)
Asymmetric unit:
Np 0.0000 0.0000 0.0000 x1  8 Os 2.84, 4 Nb 3.13
Nb 0.5000 0.5000 0.0000 x1  8 Os 2.84, 4 Np 3.13
Os 0.0000 0.5000 0.5000 x2  4 Nb 2.84, 4 Np 2.84, 4 Os 3.13

Fermi-level density of states ... 6.69 states/eV/f.u.
Energy relative to the lowest polymorph listed for this composition ... 0.1202 eV/atom



(2)
This record from Alexandria describes an optimized crystal structure of NpNbOs4. The functional is PBE.

a b c (Å): 7.4320 7.4320 7.4320
angles (deg): 90.00 90.00 90.00
Closest atoms and distances in Å follow each position.
Space group F-43m (No. 216)
Asymmetric unit:
Np 0.0000 0.0000 0.0000 x4  12 Os 3.08, 4 Nb 3.22
Nb 0.2500 0.2500 0.7500 x4  12 Os 3.08, 4 Np 3.22
Os 0.1248 0.1248 0.3752 x16  6 Os 2.62-2.63

Uncorrected energy ... -269.867 eV for the cell shown
Fermi-level density of states ... 7.50 states/eV/f.u.



(3)
This record from Alexandria describes an optimized crystal structure of NpNbOs2. The functional is PBE.

a b c (Å): 6.5676 6.5676 6.5676
angles (deg): 90.00 90.00 90.00
Closest atoms and distances in Å follow each position.
Space group Fm-3m (No. 225)
Asymmetric unit:
Np 0.0000 0.0000 0.0000 x4  8 Os 2.84
Nb 0.0000 0.0000 0.5000 x4  8 Os 2.84
Os 0.2500 0.2500 0.2500 x8  4 Nb 2.84, 4 Np 2.84

Fermi-level density of states ... 5.88 states/eV/f.u.
Energy relative to the lowest polymorph listed for this composition ... 0.1328 eV/atom



(4)
This record from Alexandria describes an optimized crystal structure of NpNbOs. The functional is PBE.

a b c (Å): 3.6861 3.6861 8.1061
angles (deg): 90.00 90.00 90.00
Closest atoms and distances in Å follow each position.
Space group P4/nmm (No. 129, origin choice 2)
Asymmetric unit:
Np 0.2500 0.7500 0.0000 x2  4 Np 2.61
Nb 0.2500 0.2500 0.3746 x2  5 Os 2.63-2.67
Os 0.2500 0.2500 0.6992 x2  5 Nb 2.63-2.67

Uncorrected energy ... -67.003 eV for the cell shown
Fermi-level density of states ... 4.21 states/eV/f.u.



(5)
This record from Alexandria describes an optimized crystal structure of NpPaNbOs. The functional is PBE.

a b c (Å): 6.7573 6.7573 6.7573
angles (deg): 90.00 90.00 90.00
Closest atoms and distances in Å follow each position.
Space group F-43m (No. 216)
Asymmetric unit:
Np 0.0000 0.0000 0.0000 x4  4 Nb 2.93, 4 Pa 2.93
Pa 0.2500 0.2500 0.2500 x4  4 Np 2.93, 4 Os 2.93
Nb 0.2500 0.2500 0.7500 x4  4 Os 2.93, 4 Np 2.93
Os 0.0000 0.0000 0.5000 x4  4 Pa 2.93, 4 Nb 2.93

Uncorrected energy ... -173.584 eV for the cell shown
Fermi-level density of states ... 9.36 states/eV/f.u.



(6)
This record from Alexandria describes an optimized crystal structure of NpNbOsRu. The functional is PBE.

a b c (Å): 6.5533 6.5533 6.5533
angles (deg): 90.00 90.00 90.00
Closest atoms and distances in Å follow each position.
Space group F-43m (No. 216)
Asymmetric unit:
Np 0.0000 0.0000 0.0000 x4  4 Ru 2.84, 4 Os 2.84
Nb 0.0000 0.0000 0.5000 x4  4 Ru 2.84, 4 Os 2.84
Os 0.2500 0.2500 0.2500 x4  4 Nb 2.84, 4 Np 2.84
Ru 0.2500 0.2500 0.7500 x4  4 Nb 2.84, 4 Np 2.84

Uncorrected energy ... -173.676 eV for the cell shown
Fermi-level density of states ... 5.36 states/eV/f.u.



(7)
This record from Alexandria describes an optimized crystal structure of NpNbTcOs. The functional is PBE.

a b c (Å): 6.5597 6.5597 6.5597
angles (deg): 90.00 90.00 90.00
Closest atoms and distances in Å follow each position.
Space group F-43m (No. 216)
Asymmetric unit:
Np 0.0000 0.0000 0.0000 x4  4 Os 2.84, 4 Tc 2.84
Nb 0.0000 0.0000 0.5000 x4  4 Tc 2.84, 4 Os 2.84
Tc 0.2500 0.2500 0.7500 x4  4 Nb 2.84, 4 Np 2.84
Os 0.2500 0.2500 0.2500 x4  4 Nb 2.84, 4 Np 2.84

Uncorrected energy ... -178.107 eV for the cell shown
Fermi-level density of states ... 4.14 states/eV/f.u.



(8)
This record from Alexandria describes an optimized crystal structure of NpTiNbOs. The functional is PBE.

a b c (Å): 6.5172 6.5172 6.5172
angles (deg): 90.00 90.00 90.00
Closest atoms and distances in Å follow each position.
Space group F-43m (No. 216)
Asymmetric unit:
Np 0.0000 0.0000 0.0000 x4  4 Nb 2.82, 4 Ti 2.82
Ti 0.2500 0.2500 0.2500 x4  4 Os 2.82, 4 Np 2.82
Nb 0.2500 0.2500 0.7500 x4  4 Os 2.82, 4 Np 2.82
Os 0.0000 0.0000 0.5000 x4  4 Nb 2.82, 4 Ti 2.82

Uncorrected energy ... -166.632 eV for the cell shown
Fermi-level density of states ... 9.71 states/eV/f.u.